## ScCoO2 (GGA+U)

Data for a geometry-optimized ScCoO2 structure.

Cell and atoms, written as POSCAR:
```
ScCoO2
1.0
0.000 2.685 2.685
2.685 0.000 2.685
2.685 2.685 0.000
Sc Co O
1 1 2
Direct
0.000 0.000 0.000 Sc
0.500 0.500 0.500 Co
0.250 0.250 0.250 O
0.750 0.750 0.750 O
```

Values from the calculation:
- Total magnetization: 2.0 μB per formula unit
- Total energy: -27.685 eV per formula unit
- DOS at the Fermi energy: 3.1 states/eV/f.u.
- Space group: Fm-3m
- Calculated volume: 38.7 Å³ per cell